No. 1
Here is crystalline RbB3O5 at its relaxed geometry from the Alexandria database. Energies are from PBE-GGA.

a = 10.048 Å, b = 8.964 Å, c = 9.301 Å
α = 90.00°, β = 102.71°, γ = 90.00°
Space group C2/c (No. 15)
Asymmetric unit:
Rb1 0.083 0.155 0.451
B1 0.073 0.462 0.931
B2 0.182 0.253 0.822
B3 0.199 0.491 0.232
O1 0.081 0.494 0.095
O2 0.092 0.304 0.905
O3 0.150 0.441 0.360
O4 0.193 0.101 0.805
O5 0.247 0.146 0.246

Summary:
Total magnetic moment in μB per cell: 0.00
Density of states at the Fermi level in states/eV/f.u.: 0.00
ρ in g cm⁻³: 3.2
Raw formation energy in meV per atom: -2395

***

No. 2
Here is crystalline RbB2O4 at its relaxed geometry from the Alexandria database. Energies are from PBE-GGA.

a = 5.538 Å, b = 5.538 Å, c = 9.763 Å
α = 90.00°, β = 90.00°, γ = 90.00°
Space group I4/mmm (No. 139)
Asymmetric unit:
Rb1 0.000 0.000 0.000
B1 0.000 0.000 0.417
O1 0.000 0.000 0.292
O2 0.000 0.500 0.000

Summary:
Total magnetic moment in μB per cell: 6.00
Density of states at the Fermi level in states/eV/f.u.: 3.82
ρ in g cm⁻³: 1.9
Raw formation energy in meV per atom: -500

***

No. 3
Here is crystalline Rb5B19O31 at its relaxed geometry from the Alexandria database. Energies are from PBE-GGA.

a = 18.426 Å, b = 11.781 Å, c = 13.470 Å
α = 90.00°, β = 95.68°, γ = 90.00°
Space group C2/c (No. 15)
Asymmetric unit:
Rb1 0.000 0.000 0.000
Rb2 0.165 0.442 0.182
Rb3 0.173 0.227 0.672
B1 0.000 0.388 0.750
B2 0.017 0.457 0.379
B3 0.019 0.308 0.502
B4 0.067 0.041 0.244
B5 0.071 0.252 0.871
B6 0.134 0.354 0.426
B7 0.151 0.187 0.303
B8 0.168 0.132 0.971
B9 0.174 0.077 0.150
B10 0.243 0.491 0.466
O1 0.000 0.013 0.750
O2 0.017 0.239 0.936
O3 0.020 0.390 0.055
O4 0.024 0.459 0.669
O5 0.063 0.316 0.788
O6 0.085 0.129 0.310
O7 0.087 0.433 0.364
O8 0.091 0.288 0.494
O9 0.111 0.005 0.175
O10 0.135 0.188 0.887
O11 0.146 0.148 0.063
O12 0.172 0.278 0.361
O13 0.189 0.419 0.490
O14 0.198 0.152 0.234
O15 0.224 0.057 0.955
O16 0.234 0.002 0.128

Summary:
Total magnetic moment in μB per cell: 0.00
Density of states at the Fermi level in states/eV/f.u.: 0.00
ρ in g cm⁻³: 2.6
Raw formation energy in meV per atom: -2436

***

No. 4
Here is crystalline Rb2BO2 at its relaxed geometry from the Alexandria database. Energies are from PBE-GGA.

a = 15.821 Å, b = 4.539 Å, c = 10.608 Å
α = 90.00°, β = 90.00°, γ = 90.00°
Space group Pnma (No. 62)
Asymmetric unit:
Rb1 0.130 0.250 0.120
Rb2 0.132 0.250 0.623
B1 0.205 0.750 0.371
O1 0.206 0.750 0.251
O2 0.206 0.750 0.491

Summary:
Total magnetic moment in μB per cell: 0.00
Density of states at the Fermi level in states/eV/f.u.: 0.74
ρ in g cm⁻³: 1.9
Raw formation energy in meV per atom: -1701

***

No. 5
Here is crystalline RbBO3 at its relaxed geometry from the Alexandria database. Energies are from PBE-GGA.

a = 3.638 Å, b = 3.638 Å, c = 3.638 Å
α = 90.00°, β = 90.00°, γ = 90.00°
Space group Pm-3m (No. 221)
Asymmetric unit:
Rb1 0.000 0.000 0.000
B1 0.500 0.500 0.500
O1 0.000 0.500 0.500

Summary:
Total magnetic moment in μB per cell: 2.00
Density of states at the Fermi level in states/eV/f.u.: 2.97
ρ in g cm⁻³: 5.0
Raw formation energy in meV per atom: -171

***

No. 6
Here is crystalline Rb5B2O5 at its relaxed geometry from the Alexandria database. Energies are from PBE-GGA.

a = 14.931 Å, b = 3.031 Å, c = 12.261 Å
α = 90.00°, β = 117.12°, γ = 90.00°
Space group C2/m (No. 12)
Asymmetric unit:
Rb1 0.000 0.000 0.000
Rb2 0.100 0.000 0.732
Rb3 0.133 0.000 0.482
B1 0.153 0.500 0.254
O1 0.000 0.500 0.500
O2 0.056 0.500 0.221
O3 0.208 0.000 0.276

Summary:
Total magnetic moment in μB per cell: 0.12
Density of states at the Fermi level in states/eV/f.u.: 1.12
ρ in g cm⁻³: 3.6
Raw formation energy in meV per atom: -1223